## Na2Cd2Cl (PBE-GGA)

Data for a relaxed Na2Cd2Cl crystal.

Unit cell a=7.351 b=7.351 c=5.598 alpha=90.00 beta=90.00 gamma=90.00
Fractional positions:
Na1 0.325 0.825 0.000
Na2 0.825 0.675 0.000
Na3 0.675 0.175 0.000
Na4 0.175 0.325 0.000
Cl1 0.000 0.000 0.000
Cl2 0.500 0.500 0.000
Cd1 0.145 0.645 0.500
Cd2 0.645 0.855 0.500
Cd3 0.855 0.355 0.500
Cd4 0.355 0.145 0.500

Final energy, eV/atom: -1.732
Size of the total moment, μB/f.u.: 0.00
Volume, Å³ per atom: 30.3